A geometry-optimized YGa3Si structure, computed with GGA-PBEsol.

a = 4.7237 Å, b = 4.7237 Å, c = 4.7237 Å
α = 90.00°, β = 90.00°, γ = 90.00°
Space group Pm-3m (No. 221)
Symmetry-distinct sites (fractional):
Y (0.0000, 0.0000, 0.0000) (multiplicity 1)
Ga (0.0000, 0.5000, 0.5000) (multiplicity 3)
Si (0.5000, 0.5000, 0.5000) (multiplicity 1)

Summary:
* DOS(E_F): 0.49 states/eV/atom
* formation energy (no corrections): 0.09 eV/atom

A geometry-optimized LaAs2Ir2 structure, computed with GGA-PBEsol.

a = 4.2751 Å, b = 4.2751 Å, c = 10.0205 Å
α = 90.00°, β = 90.00°, γ = 90.00°
Space group P4/nmm (No. 129, origin choice 2)
Symmetry-distinct sites (fractional):
La (0.2500, 0.2500, 0.2457) (multiplicity 2)
As (0.2500, 0.2500, 0.6381) (multiplicity 2)
As (0.2500, 0.7500, 0.0000) (multiplicity 2)
Ir (0.2500, 0.2500, 0.8811) (multiplicity 2)
Ir (0.2500, 0.7500, 0.5000) (multiplicity 2)

Summary:
* DOS(E_F): 0.52 states/eV/atom
* formation energy from the elements: -820 meV per atom

A geometry-optimized BaGa2Pt2 structure, computed with GGA-PBEsol.

a = 8.4698 Å, b = 6.5008 Å, c = 8.1556 Å
α = 90.00°, β = 95.91°, γ = 90.00°
Space group P2_1/c (No. 14)
Symmetry-distinct sites (fractional):
Ba (0.2325, 0.1115, 0.0009) (multiplicity 4)
Ga (0.0709, 0.5774, 0.8707) (multiplicity 4)
Ga (0.4465, 0.6536, 0.1962) (multiplicity 4)
Pt (0.1501, 0.6692, 0.1722) (multiplicity 4)
Pt (0.3699, 0.5983, 0.8979) (multiplicity 4)

Summary:
* DOS(E_F): 0.42 states/eV/atom
* formation energy from the elements: -792 meV per atom

A geometry-optimized AlZnTc2 structure, computed with GGA-PBEsol.

a = 5.1341 Å, b = 7.8078 Å, c = 2.7766 Å
α = 90.00°, β = 90.00°, γ = 90.00°
Space group Cmmm (No. 65)
Symmetry-distinct sites (fractional):
Al (0.0000, 0.0000, 0.0000) (multiplicity 2)
Zn (0.0000, 0.5000, 0.0000) (multiplicity 2)
Tc (0.2500, 0.2500, 0.5000) (multiplicity 4)

Summary:
* DOS(E_F): 1.13 states/eV/atom
* formation energy from the elements: 76 meV per atom

A geometry-optimized AsHRhSe2 structure, computed with GGA-PBEsol.

a = 4.5638 Å, b = 4.5638 Å, c = 3.4499 Å
α = 90.00°, β = 90.00°, γ = 90.00°
Space group P4/mmm (No. 123)
Symmetry-distinct sites (fractional):
As (0.0000, 0.0000, 0.0000) (multiplicity 1)
H (0.0000, 0.0000, 0.5000) (multiplicity 1)
Rh (0.5000, 0.5000, 0.0000) (multiplicity 1)
Se (0.0000, 0.5000, 0.5000) (multiplicity 2)

Summary:
* DOS(E_F): 0.46 states/eV/atom

A geometry-optimized BeTl2Si structure, computed with GGA-PBEsol.

a = 7.4745 Å, b = 7.4745 Å, c = 5.9025 Å
α = 90.00°, β = 90.00°, γ = 90.00°
Space group I-42d (No. 122)
Symmetry-distinct sites (fractional):
Be (0.0000, 0.0000, 0.0000) (multiplicity 4)
Tl (0.2146, 0.2500, 0.1250) (multiplicity 8)
Si (0.0000, 0.0000, 0.5000) (multiplicity 4)

Summary:
* DOS(E_F): 0.51 states/eV/atom
* formation energy (no corrections): 0.70 eV/atom

Calculated values (Ry per atom) of uncorrected energy for the records, taken in order: -0.325, -0.578, -0.393, -0.513, -0.318, -0.224.